1.
TiAl3In: relaxed, PBE-GGA.

The structure belongs to space group Pm-3m (No. 221); the cell edges are 5.0851, 5.0851 and 5.0851 Å and the angles 90.00°, 90.00° and 90.00°. Symmetry generates all atoms from Ti at (0.0000, 0.0000, 0.0000), Al at (0.0000, 0.0000, 0.5000) and In at (0.5000, 0.5000, 0.5000).

The value obtained for the energy relative to the lowest polymorph listed for this composition is 0.00 eV per formula unit. The value obtained for the total moment is 2.17 Bohr magnetons per cell. The value obtained for the raw total energy is -18.44 eV per cell. The volume is 26.3 Å³/atom.

=====

2.
Ti3AlIn2: relaxed, PBE-GGA.

The structure belongs to space group P4/mmm (No. 123); the cell edges are 2.9279, 2.9279 and 12.7155 Å and the angles 90.00°, 90.00° and 90.00°. Symmetry generates all atoms from Ti at (0.0000, 0.0000, 0.0000), Ti at (0.0000, 0.0000, 0.3500), Al at (0.5000, 0.5000, 0.5000) and In at (0.5000, 0.5000, 0.1739).

The value obtained for the total moment is 0.00 Bohr magnetons per cell. The value obtained for the raw total energy is -34.30 eV per cell. The volume is 18.2 Å³/atom.

=====

3.
TiAl2In: relaxed, PBE-GGA.

The structure belongs to space group P4/mmm (No. 123); the cell edges are 4.1514, 4.1514 and 4.0788 Å and the angles 90.00°, 90.00° and 90.00°. Symmetry generates all atoms from Ti at (0.0000, 0.0000, 0.0000), Al at (0.0000, 0.5000, 0.5000) and In at (0.5000, 0.5000, 0.0000).

The value obtained for the total moment is 0.00 Bohr magnetons per cell. The value obtained for the raw total energy is -18.80 eV per cell. The volume is 17.6 Å³/atom.

=====

4.
Ti12AlIn3: relaxed, PBE-GGA.

The structure belongs to space group P4/mmm (No. 123); the cell edges are 4.1335, 4.1335 and 16.5069 Å and the angles 90.00°, 90.00° and 90.00°. Symmetry generates all atoms from Ti at (0.0000, 0.0000, 0.0000), Ti at (0.0000, 0.0000, 0.2472), Ti at (0.0000, 0.0000, 0.5000), Ti at (0.0000, 0.5000, 0.1186), Ti at (0.0000, 0.5000, 0.3731), Al at (0.5000, 0.5000, 0.0000), In at (0.5000, 0.5000, 0.2463) and In at (0.5000, 0.5000, 0.5000).

The value obtained for the total moment is 0.00 Bohr magnetons per cell. The value obtained for the raw total energy is -109.13 eV per cell. The volume is 17.6 Å³/atom.

=====

5.
Ti6AlIn2: relaxed, PBE-GGA.

The structure belongs to space group Immm (No. 71); the cell edges are 4.8300, 5.0273 and 14.2299 Å and the angles 90.00°, 90.00° and 90.00°. Symmetry generates all atoms from Ti at (0.0000, 0.2472, 0.0000), Ti at (0.0000, 0.2493, 0.1944), Al at (0.0000, 0.5000, 0.5000) and In at (0.0000, 0.0000, 0.3870).

The value obtained for the energy relative to the lowest polymorph listed for this composition is 0.00 eV per formula unit. The value obtained for the total moment is 0.00 Bohr magnetons per cell. The value obtained for the raw total energy is -108.44 eV per cell. The volume is 19.2 Å³/atom.

=====

6.
Ti15Al2In2: relaxed, PBE-GGA.

The structure belongs to space group R-3m (No. 166, hexagonal axes); the cell edges are 9.0531, 9.0531 and 14.5940 Å and the angles 90.00°, 90.00° and 120.00°. Symmetry generates all atoms from Ti at (0.0000, 0.2981, 0.0000), Ti at (0.0000, 0.5000, 0.5000), Ti at (0.0204, 0.5102, 0.1373), Al at (0.0000, 0.0000, 0.0917) and In at (0.0000, 0.0000, 0.3132).

The value obtained for the total moment is 11.92 Bohr magnetons per cell. The value obtained for the raw total energy is -384.73 eV per cell. The volume is 18.2 Å³/atom.

=====

7.
TiAlIn2: relaxed, PBE-GGA.

The structure belongs to space group I-42d (No. 122); the cell edges are 7.7712, 7.7712 and 5.7663 Å and the angles 90.00°, 90.00° and 90.00°. Symmetry generates all atoms from Ti at (0.0000, 0.0000, 0.0000), Al at (0.0000, 0.0000, 0.5000) and In at (0.2342, 0.2500, 0.6250).

The value obtained for the total moment is 0.00 Bohr magnetons per cell. The value obtained for the raw total energy is -64.22 eV per cell. The volume is 21.8 Å³/atom.

=====

8.
Ti6Al3In: relaxed, PBE-GGA.

The structure belongs to space group Cmc2_1 (No. 36); the cell edges are 7.9048, 16.5856 and 5.3475 Å and the angles 90.00°, 90.00° and 90.00°. Symmetry generates all atoms from Ti at (0.0000, 0.0021, 0.0000), Ti at (0.0000, 0.2907, 0.9512), Ti at (0.1814, 0.2719, 0.5255), Ti at (0.1831, 0.4457, 0.7580), Al at (0.0000, 0.4081, 0.3148), Al at (0.1775, 0.1155, 0.7310) and In at (0.0000, 0.1506, 0.2444).

The value obtained for the total moment is 0.00 Bohr magnetons per cell. The value obtained for the raw total energy is -249.03 eV per cell. The volume is 17.5 Å³/atom.

=====

9.
TiAlIn2W: relaxed, PBE-GGA.

The structure belongs to space group P4/mmm (No. 123); the cell edges are 4.9171, 4.9171 and 4.7996 Å and the angles 90.00°, 90.00° and 90.00°. Symmetry generates all atoms from Ti at (0.0000, 0.0000, 0.0000), Al at (0.0000, 0.0000, 0.5000), In at (0.0000, 0.5000, 0.5000) and W at (0.5000, 0.5000, 0.0000).

The value obtained for the total moment is 2.01 Bohr magnetons per cell. The value obtained for the raw total energy is -22.65 eV per cell. The volume is 23.2 Å³/atom.

=====

10.
TiAl2ZnIn: relaxed, PBE-GGA.

The structure belongs to space group P4/mmm (No. 123); the cell edges are 5.1048, 5.1048 and 5.0306 Å and the angles 90.00°, 90.00° and 90.00°. Symmetry generates all atoms from Ti at (0.0000, 0.0000, 0.0000), Al at (0.0000, 0.5000, 0.0000), Zn at (0.0000, 0.0000, 0.5000) and In at (0.5000, 0.5000, 0.5000).

The value obtained for the total moment is 1.86 Bohr magnetons per cell. The value obtained for the raw total energy is -15.80 eV per cell. The volume is 26.2 Å³/atom.

=====

11.
TiAlZnIn2: relaxed, PBE-GGA.

The structure belongs to space group P4/mmm (No. 123); the cell edges are 5.2240, 5.2240 and 4.6292 Å and the angles 90.00°, 90.00° and 90.00°. Symmetry generates all atoms from Ti at (0.0000, 0.0000, 0.0000), Al at (0.5000, 0.5000, 0.5000), Zn at (0.5000, 0.5000, 0.0000) and In at (0.0000, 0.5000, 0.5000).

The value obtained for the total moment is 0.00 Bohr magnetons per cell. The value obtained for the raw total energy is -14.45 eV per cell. The volume is 25.3 Å³/atom.

=====

12.
ZrTiAlIn: relaxed, PBE-GGA.

The structure belongs to space group P4mm (No. 99); the cell edges are 3.0011, 3.0011 and 8.5445 Å and the angles 90.00°, 90.00° and 90.00°. Symmetry generates all atoms from Zr at (0.0000, 0.0000, 0.0000), Ti at (0.0000, 0.0000, 0.5425), Al at (0.5000, 0.5000, 0.7582) and In at (0.5000, 0.5000, 0.2834).

The value obtained for the total moment is 0.00 Bohr magnetons per cell. The value obtained for the raw total energy is -24.21 eV per cell. The volume is 19.2 Å³/atom.